Entry from Alexandria via LeMat-Bulk: NiS2Br after structural relaxation (GGA-PBE).

Calculated values
* energy above the most stable polymorph in this dataset: 577 meV per atom
* energy relative to the elements, uncorrected: 0.44 eV/atom

```
NiS2Br
1.0
-8.664 -4.753 7.852
-10.053 -5.299 5.492
-8.174 -7.124 6.460
Ni S Br
1 2 1
Direct
0.000 0.000 0.000
0.943 0.943 0.943
0.057 0.057 0.057
0.500 0.500 0.500
```

Entry from Alexandria via LeMat-Bulk: NiS2Br after structural relaxation (GGA-PBE).

Calculated values
* energy above the most stable polymorph in this dataset: 1146 meV per atom
* energy relative to the elements, uncorrected: 1.01 eV/atom

```
NiS2Br
1.0
0.000 3.217 3.217
3.217 0.000 3.217
3.217 3.217 0.000
Ni S Br
1 2 1
Direct
0.000 0.000 0.000
0.250 0.250 0.250
0.750 0.750 0.750
0.500 0.500 0.500
```

Q: The lowest energy above the most stable polymorph in this dataset belongs to which entry?
A: number 1